[1]
A plane-wave DFT calculation with GGA-PBE was carried out for Pr3TmIn12 after structural relaxation.

```
Pr3TmIn12
1.0
-0.375 -2.634 -3.882
4.635 0.395 -0.716
2.915 -15.576 10.288
In Pr Tm
12 3 1
direct
0.500 0.500 0.500
0.500 0.500 0.751
0.000 0.500 0.373
0.500 0.000 0.373
0.000 0.500 0.627
0.500 0.500 0.249
0.500 0.000 0.627
0.500 0.000 0.120
0.500 0.000 0.880
0.500 0.500 0.000
0.000 0.500 0.880
0.000 0.500 0.120
0.000 0.000 0.246
0.000 0.000 0.754
0.000 0.000 0.500
0.000 0.000 0.000
```

Summary:
Total energy in eV/atom: -3.671
DFT formation energy in meV/atom: -441.5
DOS(E_F) in states/eV/f.u.: 9.3

***

[2]
A plane-wave DFT calculation with GGA-PBE was carried out for ThAl3Ag3 after structural relaxation.

```
ThAl3Ag3
1.0
-6.679 -4.729 -2.465
0.495 -8.529 0.207
-4.488 -4.401 5.790
Al Th Ag
6 2 6
direct
0.652 0.652 0.348
0.348 0.652 0.652
0.652 0.348 0.348
0.348 0.348 0.652
0.348 0.652 0.348
0.652 0.348 0.652
0.750 0.750 0.750
0.250 0.250 0.250
0.842 0.158 0.842
0.158 0.842 0.842
0.842 0.842 0.158
0.842 0.158 0.158
0.158 0.158 0.842
0.158 0.842 0.158
```

Summary:
Total energy in eV/atom: -2.972
DFT formation energy in meV/atom: 913.8
DOS(E_F) in states/eV/f.u.: 10.2

***

[3]
A plane-wave DFT calculation with GGA-PBE was carried out for BaPSe2 after structural relaxation.

```
BaPSe2
1.0
-0.233 -5.856 2.018
-4.239 -1.637 4.214
0.243 3.040 -5.396
Ba P Se
1 1 2
direct
0.500 0.500 0.000
0.750 0.250 0.500
0.000 0.000 0.000
0.250 0.750 0.500
```

Summary:
Total energy in eV/atom: -3.917
Relative energy among the computed polymorphs in eV/f.u.: 2.27
Uncorrected formation energy in eV/atom: -0.34
DOS(E_F) in states/eV/f.u.: 3.1

***

[4]
A plane-wave DFT calculation with GGA-PBE was carried out for Ho6Er2Fe after structural relaxation.

```
Ho6Er2Fe
1.0
-0.964 3.315 0.167
-6.886 -2.281 5.536
8.451 2.259 3.922
Er Fe Ho
2 1 6
direct
0.500 0.679 0.357
0.500 0.321 0.643
0.000 0.000 0.000
0.000 0.011 0.680
0.500 0.722 0.000
0.000 0.989 0.320
0.500 0.278 0.000
0.000 0.668 0.680
0.000 0.332 0.320
```

Summary:
Total energy in eV/atom: -4.774
DFT formation energy in meV/atom: 232.0
DOS(E_F) in states/eV/f.u.: 13.5

***

[5]
A plane-wave DFT calculation with GGA-PBE was carried out for Ho3Er3Tm2 after structural relaxation.

```
Ho3Er3Tm2
1.0
-6.140 -0.343 1.638
0.046 -6.348 0.447
1.977 0.850 5.989
Ho Tm Er
3 2 3
direct
0.000 0.235 0.235
0.765 0.000 0.765
0.235 0.765 0.000
0.750 0.750 0.250
0.250 0.250 0.750
0.500 0.266 0.266
0.734 0.500 0.734
0.266 0.734 0.500
```

Summary:
Total energy in eV/atom: -4.297
Relative energy among the computed polymorphs in eV/f.u.: 1.80
DFT formation energy in meV/atom: 248.3
DOS(E_F) in states/eV/f.u.: 12.8

***

[6]
A plane-wave DFT calculation with GGA-PBE was carried out for Er2Zn2Ni3 after structural relaxation.

```
Er2Zn2Ni3
1.0
-2.723 -0.203 6.291
3.833 -5.596 -1.014
3.917 5.596 -0.616
Zn Er Ni
4 4 6
direct
0.412 0.500 0.000
0.500 0.912 0.500
0.088 0.588 0.588
0.000 0.000 0.912
0.000 0.000 0.501
0.499 0.999 0.999
0.500 0.501 0.500
0.001 0.500 0.000
0.723 0.250 0.473
0.777 0.750 0.027
0.973 0.223 0.250
0.250 0.027 0.277
0.750 0.473 0.223
0.527 0.277 0.750
```

Summary:
Total energy in eV/atom: -4.393
DFT formation energy in meV/atom: -247.7
DOS(E_F) in states/eV/f.u.: 5.0

***

[7]
A plane-wave DFT calculation with GGA-PBE was carried out for KCaAl2 after structural relaxation.

```
KCaAl2
1.0
-3.547 7.772 7.273
-6.640 6.777 5.988
-5.182 4.988 8.611
Al Ca K
2 1 1
direct
0.507 0.507 0.507
0.993 0.993 0.993
0.250 0.250 0.250
0.750 0.750 0.750
```

Summary:
Total energy in eV/atom: -2.346
Relative energy among the computed polymorphs in eV/f.u.: 0.80
DFT formation energy in meV/atom: 300.1
DOS(E_F) in states/eV/f.u.: 2.8

***

[8]
A plane-wave DFT calculation with GGA-PBE was carried out for LaOs2Pb after structural relaxation.

```
LaOs2Pb
1.0
10.450 -0.012 -0.007
10.008 3.007 -0.007
10.008 1.465 2.626
Pb Os La
1 2 1
direct
0.512 0.512 0.512
0.988 0.988 0.988
0.258 0.258 0.258
0.742 0.742 0.742
```

Summary:
Total energy in eV/atom: -7.070
DFT formation energy in meV/atom: 703.9
DOS(E_F) in states/eV/f.u.: 4.3